Crystalline In2AgAu at its relaxed geometry. Source: the Alexandria database, functional PBE-GGA.

a b c (Å): 4.9753 4.9753 4.9753
angles (deg): 60.00 60.00 60.00
With the nearest neighbours (Å) after each atom.
Fractional positions:
Au (0.7500, 0.7500, 0.7500)  4 Ag 3.05, 4 In 3.05
Ag (0.5000, 0.5000, 0.5000)  4 Au 3.05, 4 In 3.05
In (0.0000, 0.0000, 0.0000)  4 In 3.05, 4 Au 3.05
In (0.2500, 0.2500, 0.2500)  4 In 3.05, 4 Ag 3.05

Output
Crystal system: cubic
Space group: F-43m
DFT total energy (eV for the cell shown): -11.43


Crystalline InAgAu5 at its relaxed geometry. Source: the Alexandria database, functional PBE-GGA.

a b c (Å): 5.6865 7.3166 7.3166
angles (deg): 96.77 105.05 105.05
With the nearest neighbours (Å) after each atom.
Fractional positions:
In (0.7500, 0.3498, 0.1502)  7 Au 2.79-2.91
In (0.2500, 0.6502, 0.8498)  7 Au 2.79-2.91
Ag (0.0000, 0.0000, 0.0000)  6 Au 2.75-3.07
Ag (0.5000, 0.5000, 0.5000)  6 Au 2.75-3.07
Au (0.5149, 0.8850, 0.6490)  1 In 2.79, 6 Au 2.82-2.94, 2 Ag 2.87-3.09
Au (0.6318, 0.7740, 0.2286)  7 Au 2.89-2.94, 1 In 2.91, 1 Ag 3.07
Au (0.0149, 0.1490, 0.3850)  1 In 2.79, 6 Au 2.82-2.94, 2 Ag 2.87-3.09
Au (0.7500, 0.6103, 0.8897)  2 Ag 2.75, 3 In 2.85-2.88, 4 Au 2.94
Au (0.8682, 0.2714, 0.7260)  7 Au 2.89-2.94, 1 In 2.91, 1 Ag 3.07
Au (0.1318, 0.7286, 0.2740)  7 Au 2.89-2.94, 1 In 2.91, 1 Ag 3.07
Au (0.2500, 0.3897, 0.1103)  2 Ag 2.75, 3 In 2.85-2.88, 4 Au 2.94
Au (0.9851, 0.8510, 0.6150)  1 In 2.79, 6 Au 2.82-2.94, 2 Ag 2.87-3.09
Au (0.3682, 0.2260, 0.7714)  7 Au 2.89-2.94, 1 In 2.91, 1 Ag 3.07
Au (0.4851, 0.1150, 0.3510)  1 In 2.79, 6 Au 2.82-2.94, 2 Ag 2.87-3.09

Output
Crystal system: monoclinic
Space group: C2/c
DFT total energy (eV for the cell shown): -44.39


Crystalline InAg3Au5 at its relaxed geometry. Source: the Alexandria database, functional PBE-GGA.

a b c (Å): 8.0580 8.0580 8.0557
angles (deg): 120.01 120.01 90.00
With the nearest neighbours (Å) after each atom.
Fractional positions:
In (0.7500, 0.2500, 0.5000)  4 Au 2.64
In (0.2500, 0.7500, 0.5000)  4 Au 2.64
Ag (0.6120, 0.1120, 0.0000)  1 Ag 2.55, 2 Au 2.63
Ag (0.3880, 0.8880, 0.0000)  1 Ag 2.55, 2 Au 2.63
Ag (0.8880, 0.6120, 0.0000)  1 Ag 2.55, 2 Au 2.63
Ag (0.1120, 0.3880, 0.0000)  1 Ag 2.55, 2 Au 2.63
Ag (0.2500, 0.2500, 0.5000)  10 Au 2.85-3.18
Ag (0.7500, 0.7500, 0.5000)  10 Au 2.85-3.18
Au (0.0656, 0.5656, 0.7291)  1 Ag 2.63, 1 In 2.64, 1 Au 2.84
Au (0.6635, 0.1635, 0.7291)  1 Ag 2.63, 1 In 2.64, 1 Au 2.84
Au (0.1635, 0.0656, 0.7291)  1 Ag 2.63, 1 In 2.64, 1 Au 2.84
Au (0.5656, 0.6635, 0.7291)  1 Ag 2.63, 1 In 2.64, 1 Au 2.84
Au (0.9344, 0.4344, 0.2709)  1 Ag 2.63, 1 In 2.64, 1 Au 2.84
Au (0.3365, 0.8365, 0.2709)  1 Ag 2.63, 1 In 2.64, 1 Au 2.84
Au (0.8365, 0.9344, 0.2709)  1 Ag 2.63, 1 In 2.64, 1 Au 2.84
Au (0.4344, 0.3365, 0.2709)  1 Ag 2.63, 1 In 2.64, 1 Au 2.84
Au (0.5000, 0.5000, 0.0000)  2 Ag 2.85
Au (0.0000, 0.0000, 0.0000)  2 Ag 2.85

Output
Crystal system: tetragonal
Space group: I4/mcm
DFT total energy (eV for the cell shown): -52.19


Crystalline In6Ag10Au at its relaxed geometry. Source: the Alexandria database, functional PBE-GGA.

a b c (Å): 8.2468 8.2468 5.8648
angles (deg): 90.00 90.00 120.00
With the nearest neighbours (Å) after each atom.
Fractional positions:
In (0.3378, 0.3378, 0.6772)  7 Ag 2.85-3.03, 1 Au 2.97
In (0.0000, 0.6622, 0.6772)  7 Ag 2.85-3.03, 1 Au 2.97
In (0.6622, 0.0000, 0.6772)  7 Ag 2.85-3.03, 1 Au 2.97
In (0.6622, 0.6622, 0.3228)  7 Ag 2.85-3.03, 1 Au 2.97
In (0.0000, 0.3378, 0.3228)  7 Ag 2.85-3.03, 1 Au 2.97
In (0.3378, 0.0000, 0.3228)  7 Ag 2.85-3.03, 1 Au 2.97
Ag (0.6831, 0.6831, 0.8383)  5 In 2.85-3.03, 2 Ag 2.97
Ag (0.0000, 0.3169, 0.8383)  5 In 2.85-3.03, 2 Ag 2.97
Ag (0.3169, 0.0000, 0.8383)  5 In 2.85-3.03, 2 Ag 2.97
Ag (0.3169, 0.3169, 0.1617)  5 In 2.85-3.03, 2 Ag 2.97
Ag (0.0000, 0.6831, 0.1617)  5 In 2.85-3.03, 2 Ag 2.97
Ag (0.6831, 0.0000, 0.1617)  5 In 2.85-3.03, 2 Ag 2.97
Ag (0.3333, 0.6667, 0.5000)  6 In 2.92, 2 Ag 2.93
Ag (0.6667, 0.3333, 0.5000)  6 In 2.92, 2 Ag 2.93
Ag (0.6667, 0.3333, 0.0000)  8 Ag 2.93-2.97
Ag (0.3333, 0.6667, 0.0000)  8 Ag 2.93-2.97
Au (0.0000, 0.0000, 0.5000)  6 In 2.97, 6 Ag 3.28

Output
Crystal system: trigonal
Space group: P-31m
DFT total energy (eV for the cell shown): -47.96


Crystalline InAg2Au at its relaxed geometry. Source: the Alexandria database, functional PBE-GGA.

a b c (Å): 4.7713 3.0946 5.1694
angles (deg): 89.98 90.00 90.00
With the nearest neighbours (Å) after each atom.
Fractional positions:
Au (0.0000, 0.3747, 0.5429)  4 In 2.96, 6 Ag 2.97-3.05, 2 Au 3.09
Ag (0.0000, 0.8750, 0.0518)  6 Ag 2.95-3.09, 4 Au 2.97-3.05, 2 In 2.99
Ag (0.5000, 0.3753, 0.2018)  6 Ag 2.95-3.09, 2 Au 2.97, 4 In 3.00-3.02
In (0.5000, 0.8750, 0.7036)  4 Au 2.96, 6 Ag 2.99-3.02, 2 In 3.09

Output
Crystal system: orthorhombic
Space group: Pmm2
DFT total energy (eV for the cell shown): -11.98


Crystalline InAg2Au at its relaxed geometry. Source: the Alexandria database, functional PBE-GGA.

a b c (Å): 4.8203 3.0036 5.3550
angles (deg): 82.27 90.00 90.00
With the nearest neighbours (Å) after each atom.
Fractional positions:
Au (0.5000, 0.2500, 0.2500)  2 In 2.89, 4 Ag 2.90, 2 Au 3.00
Ag (0.0000, 0.9981, 0.0022)  4 Ag 2.86-3.00, 2 Au 2.90, 2 In 2.91
Ag (0.0000, 0.5019, 0.4978)  4 Ag 2.86-3.00, 2 Au 2.90, 2 In 2.91
In (0.5000, 0.7500, 0.7500)  2 Au 2.89, 4 Ag 2.91, 2 In 3.00

Output
Crystal system: monoclinic
Space group: P2/m
DFT total energy (eV for the cell shown): -11.83


Crystalline InAg5Au4 at its relaxed geometry. Source: the Alexandria database, functional PBE-GGA.

a b c (Å): 5.0260 8.5590 9.6939
angles (deg): 90.00 90.00 90.00
With the nearest neighbours (Å) after each atom.
Fractional positions:
In (0.5240, 0.0000, 0.0000)  4 Au 2.77-2.81
In (0.4760, 0.5000, 0.5000)  4 Au 2.77-2.81
Ag (0.2462, 0.8330, 0.7535)  5 Au 2.85-2.96, 4 Ag 2.85-2.96, 1 In 3.12
Ag (0.2462, 0.1670, 0.7535)  5 Au 2.85-2.96, 4 Ag 2.85-2.96, 1 In 3.12
Ag (0.9177, 0.5000, 0.0000)  6 Au 2.85-2.97, 4 Ag 2.96
Ag (0.2462, 0.8330, 0.2465)  5 Au 2.85-2.96, 4 Ag 2.85-2.96, 1 In 3.12
Ag (0.2462, 0.1670, 0.2465)  5 Au 2.85-2.96, 4 Ag 2.85-2.96, 1 In 3.12
Ag (0.7538, 0.6670, 0.2535)  5 Au 2.85-2.96, 4 Ag 2.85-2.96, 1 In 3.12
Ag (0.7538, 0.3330, 0.2535)  5 Au 2.85-2.96, 4 Ag 2.85-2.96, 1 In 3.12
Ag (0.0823, 0.0000, 0.5000)  6 Au 2.85-2.97, 4 Ag 2.96
Ag (0.7538, 0.3330, 0.7465)  5 Au 2.85-2.96, 4 Ag 2.85-2.96, 1 In 3.12
Ag (0.7538, 0.6670, 0.7465)  5 Au 2.85-2.96, 4 Ag 2.85-2.96, 1 In 3.12
Au (0.7558, 0.0000, 0.7408)  1 In 2.77, 7 Ag 2.85-2.94, 2 Au 2.93
Au (0.4260, 0.6764, 0.0000)  1 In 2.81, 6 Ag 2.89-2.97, 3 Au 2.93-3.02
Au (0.4260, 0.3236, 0.0000)  1 In 2.81, 6 Ag 2.89-2.97, 3 Au 2.93-3.02
Au (0.7558, 0.0000, 0.2592)  1 In 2.77, 7 Ag 2.85-2.94, 2 Au 2.93
Au (0.2442, 0.5000, 0.2408)  1 In 2.77, 7 Ag 2.85-2.94, 2 Au 2.93
Au (0.5740, 0.8236, 0.5000)  1 In 2.81, 6 Ag 2.89-2.97, 3 Au 2.93-3.02
Au (0.5740, 0.1764, 0.5000)  1 In 2.81, 6 Ag 2.89-2.97, 3 Au 2.93-3.02
Au (0.2442, 0.5000, 0.7592)  1 In 2.77, 7 Ag 2.85-2.94, 2 Au 2.93

Output
Crystal system: orthorhombic
Space group: Pmmn
Energy above the lowest structure with this stoichiometry (eV per atom): 0.0811
DFT total energy (eV for the cell shown): -59.80


Crystalline In2AgAu at its relaxed geometry. Source: the Alexandria database, functional PBE-GGA.

a b c (Å): 3.6401 3.9071 5.9946
angles (deg): 90.00 90.00 90.00
With the nearest neighbours (Å) after each atom.
Fractional positions:
Au (0.5000, 0.5000, 0.7500)  2 Ag 3.00, 8 In 3.05
Ag (0.5000, 0.5000, 0.2500)  2 Au 3.00, 8 In 3.07
In (0.0000, 0.0000, 0.9971)  2 In 2.96-3.03, 4 Au 3.05, 4 Ag 3.07
In (0.0000, 0.0000, 0.5029)  2 In 2.96-3.03, 4 Au 3.05, 4 Ag 3.07

Output
Crystal system: orthorhombic
Space group: Pmmm
DFT total energy (eV for the cell shown): -11.80


Crystalline InAg7Au12 at its relaxed geometry. Source: the Alexandria database, functional PBE-GGA.

a b c (Å): 7.6942 7.6942 7.6942
angles (deg): 107.15 107.15 107.15
With the nearest neighbours (Å) after each atom.
Fractional positions:
In (0.0000, 0.0000, 0.0000)  6 Ag 2.82
Ag (0.1016, 0.6726, 0.9770)  7 Au 2.82-3.00, 1 In 2.82, 3 Ag 2.84-3.08
Ag (0.3274, 0.0230, 0.8984)  7 Au 2.82-3.00, 1 In 2.82, 3 Ag 2.84-3.08
Ag (0.0230, 0.8984, 0.3274)  7 Au 2.82-3.00, 1 In 2.82, 3 Ag 2.84-3.08
Ag (0.5000, 0.5000, 0.5000)  6 Au 2.78
Ag (0.9770, 0.1016, 0.6726)  7 Au 2.82-3.00, 1 In 2.82, 3 Ag 2.84-3.08
Ag (0.6726, 0.9770, 0.1016)  7 Au 2.82-3.00, 1 In 2.82, 3 Ag 2.84-3.08
Ag (0.8984, 0.3274, 0.0230)  7 Au 2.82-3.00, 1 In 2.82, 3 Ag 2.84-3.08
Au (0.7648, 0.3419, 0.6401)  4 Ag 2.78-2.87, 7 Au 2.84-3.06
Au (0.6581, 0.3599, 0.2352)  4 Ag 2.78-2.87, 7 Au 2.84-3.06
Au (0.4141, 0.0296, 0.3080)  6 Au 2.84-3.09, 4 Ag 2.86-3.00
Au (0.9704, 0.6920, 0.5859)  6 Au 2.84-3.09, 4 Ag 2.86-3.00
Au (0.3599, 0.2352, 0.6581)  4 Ag 2.78-2.87, 7 Au 2.84-3.06
Au (0.6920, 0.5859, 0.9704)  6 Au 2.84-3.09, 4 Ag 2.86-3.00
Au (0.3080, 0.4141, 0.0296)  6 Au 2.84-3.09, 4 Ag 2.86-3.00
Au (0.6401, 0.7648, 0.3419)  4 Ag 2.78-2.87, 7 Au 2.84-3.06
Au (0.0296, 0.3080, 0.4141)  6 Au 2.84-3.09, 4 Ag 2.86-3.00
Au (0.5859, 0.9704, 0.6920)  6 Au 2.84-3.09, 4 Ag 2.86-3.00
Au (0.3419, 0.6401, 0.7648)  4 Ag 2.78-2.87, 7 Au 2.84-3.06
Au (0.2352, 0.6581, 0.3599)  4 Ag 2.78-2.87, 7 Au 2.84-3.06

Output
Crystal system: trigonal
Space group: R-3
DFT total energy (eV for the cell shown): -61.57


Crystalline In2Ag5Au5 at its relaxed geometry. Source: the Alexandria database, functional PBE-GGA.

a b c (Å): 4.2622 6.5010 9.4458
angles (deg): 113.99 90.00 109.14
With the nearest neighbours (Å) after each atom.
Fractional positions:
In (0.0845, 0.1691, 0.7501)  5 Au 2.92-2.98, 7 Ag 2.97-3.02
In (0.9155, 0.8309, 0.2499)  5 Au 2.92-2.98, 7 Ag 2.97-3.02
Ag (0.5000, 0.0000, 0.5000)  6 Au 2.95-2.96, 2 Ag 2.97, 4 In 3.01
Ag (0.6637, 0.3275, 0.0005)  4 Ag 2.90-3.01, 5 Au 2.93-2.99, 3 In 2.97-3.02
Ag (0.5876, 0.1752, 0.2517)  3 Ag 2.90-2.98, 7 Au 2.95-3.02, 2 In 3.00
Ag (0.4124, 0.8248, 0.7483)  3 Ag 2.90-2.98, 7 Au 2.95-3.02, 2 In 3.00
Ag (0.3363, 0.6725, 0.9995)  4 Ag 2.90-3.01, 5 Au 2.93-2.99, 3 In 2.97-3.02
Au (0.1652, 0.3303, 0.4940)  2 In 2.94-2.98, 5 Au 2.95-3.07, 5 Ag 2.95-2.97
Au (0.7478, 0.4957, 0.7530)  2 In 2.92, 6 Ag 2.93-2.99, 4 Au 2.96-3.07
Au (0.2522, 0.5043, 0.2470)  2 In 2.92, 6 Ag 2.93-2.99, 4 Au 2.96-3.07
Au (0.8348, 0.6697, 0.5060)  2 In 2.94-2.98, 5 Au 2.95-3.07, 5 Ag 2.95-2.97
Au (0.0000, 0.0000, 0.0000)  8 Ag 2.93-3.02, 2 In 2.96, 2 Au 2.97

Output
Crystal system: monoclinic
Space group: C2/m
Energy above the lowest structure with this stoichiometry (eV per atom): 0.0089
DFT total energy (eV for the cell shown): -37.10


Crystalline In2AgAu at its relaxed geometry. Source: the Alexandria database, functional PBE-GGA.

a b c (Å): 3.8400 3.8400 5.8169
angles (deg): 90.00 90.00 90.00
With the nearest neighbours (Å) after each atom.
Fractional positions:
Au (0.5000, 0.5000, 0.7679)  6 In 2.84-2.98, 4 Ag 3.18
Ag (0.0000, 0.0000, 0.4835)  6 In 2.83-2.99
In (0.0000, 0.0000, 0.9692)  2 Ag 2.83-2.99, 4 Au 2.96
In (0.5000, 0.5000, 0.2794)  2 Au 2.84-2.98, 4 Ag 2.96

Output
Crystal system: tetragonal
Space group: P4mm
DFT total energy (eV for the cell shown): -11.84


Crystalline InAgAu2 at its relaxed geometry. Source: the Alexandria database, functional PBE-GGA.

a b c (Å): 4.7571 4.7571 4.7571
angles (deg): 60.00 60.00 60.00
With the nearest neighbours (Å) after each atom.
Fractional positions:
Au (0.0000, 0.0000, 0.0000)  4 Au 2.91, 4 In 2.91
Au (0.2500, 0.2500, 0.2500)  4 Ag 2.91, 4 Au 2.91
Ag (0.5000, 0.5000, 0.5000)  4 In 2.91, 4 Au 2.91
In (0.7500, 0.7500, 0.7500)  4 Au 2.91, 4 Ag 2.91

Output
Crystal system: cubic
Space group: F-43m
DFT total energy (eV for the cell shown): -12.44